LiCoHg2Mo after structural relaxation. Source: the Alexandria database, functional GGA-PBE.

Cell and atoms, written as POSCAR:
```
LiCoHg2Mo
1.0
5.3982 0.0000 0.0000
0.0000 4.3642 0.0000
0.0000 0.0000 5.3982
Mo Co Hg Li
1 1 2 1
Direct
0.0000 0.0000 0.0000
0.0000 0.5000 0.0000
0.5000 0.0000 0.0000
0.0000 0.0000 0.5000
0.5000 0.5000 0.5000
```

Summary:
* DOS(E_F): 5.320 states/eV per cell
* density: 7.35 g/cm3
* ΔH_f (0 K): 0.8710 eV/atom
* total magnetic moment: 1.42 μB/f.u.

=====

La2Sm5Tl4 after structural relaxation. Source: the Alexandria database, functional GGA-PBE.

Cell and atoms, written as POSCAR:
```
La2Sm5Tl4
1.0
-2.9375 -2.1247 0.4362
5.0106 -6.5865 1.6603
-2.2856 8.3112 9.8080
Tl Sm La
4 5 2
Direct
0.0293 0.7306 0.0586
0.5889 0.5307 0.1779
0.9707 0.2694 0.9414
0.4111 0.4693 0.8221
0.5000 0.0000 0.0000
0.8265 0.0988 0.6530
0.1735 0.9012 0.3470
0.8761 0.7359 0.7521
0.1239 0.2641 0.2479
0.2664 0.3438 0.5327
0.7336 0.6562 0.4673
```

Summary:
* excess energy over the best structure of this formula in the dataset: 0.177 eV/atom
* DOS(E_F): 11.650 states/eV per cell
* density: 8.66 g/cm3
* ΔH_f (0 K): -0.0181 eV/atom
* total magnetic moment: 0.00 μB/f.u.

=====

Sr3TeMo after structural relaxation. Source: the Alexandria database, functional GGA-PBE.

Cell and atoms, written as POSCAR:
```
Sr3TeMo
1.0
5.6553 0.0000 0.0000
0.0000 5.6553 0.0000
0.0000 0.0000 5.6553
Sr Te Mo
3 1 1
Direct
0.0000 0.0000 0.5000
0.5000 0.0000 0.0000
0.0000 0.5000 0.0000
0.5000 0.5000 0.5000
0.0000 0.0000 0.0000
```

Summary:
* excess energy over the best structure of this formula in the dataset: 0.000 eV/atom
* ΔE_f (raw): 370 meV per atom
* DOS(E_F): 3.326 states/eV per cell
* density: 4.47 g/cm3
* total magnetic moment: 0.00 μB/f.u.

=====

Er2CdSi after structural relaxation. Source: the Alexandria database, functional GGA-PBE.

Cell and atoms, written as POSCAR:
```
Er2CdSi
1.0
-2.1325 1.6752 -2.4503
-0.4423 -3.1627 -1.7774
-5.5873 -1.4098 3.8988
Er Cd Si
2 1 1
Direct
0.0000 0.0000 0.7718
0.0000 0.0000 0.2282
0.5000 0.5000 0.5000
0.5000 0.5000 0.0000
```

Summary:
* ΔE_f (raw): -406 meV per atom
* DOS(E_F): 3.157 states/eV per cell
* density: 8.49 g/cm3
* total magnetic moment: 0.00 μB/f.u.

=====

CdGaPd14 after structural relaxation. Source: the Alexandria database, functional GGA-PBE.

Cell and atoms, written as POSCAR:
```
CdGaPd14
1.0
5.6529 -0.0123 0.0000
0.0118 5.6529 0.0000
0.0000 0.0000 7.7841
Pd Cd Ga
14 1 1
Direct
0.1289 0.6211 0.7480
0.6210 0.6210 0.7480
0.1290 0.1290 0.7480
0.8750 0.3750 0.0000
0.6211 0.1289 0.2520
0.6211 0.1289 0.7480
0.1290 0.1290 0.2520
0.3750 0.8750 0.0000
0.8750 0.8750 0.0000
0.3750 0.8750 0.5000
0.6210 0.6210 0.2520
0.3750 0.3750 0.0000
0.1289 0.6211 0.2520
0.8750 0.3750 0.5000
0.8750 0.8750 0.5000
0.3750 0.3750 0.5000
```

Summary:
* DOS(E_F): 31.260 states/eV per cell
* density: 11.16 g/cm3
* ΔH_f (0 K): -0.1680 eV/atom
* total magnetic moment: 0.00 μB/f.u.

=====

Cd2HgAsRh after structural relaxation. Source: the Alexandria database, functional GGA-PBE.

Cell and atoms, written as POSCAR:
```
Cd2HgAsRh
1.0
-3.8619 1.7965 3.1838
-3.6512 -1.6690 -3.4872
-0.1530 -4.0361 2.0918
Hg Cd Rh As
1 2 1 1
Direct
0.5000 0.5000 0.5000
0.0000 0.5000 0.0000
0.5000 0.0000 0.0000
0.0000 0.0000 0.0000
0.0000 0.0000 0.5000
```

Summary:
* DOS(E_F): 1.279 states/eV per cell
* density: 7.79 g/cm3
* ΔH_f (0 K): -0.0343 eV/atom
* total magnetic moment: 0.00 μB/f.u.